Density functional theory data (PBE) for a relaxed structure of CaLaRh2.

The calculation puts the formation energy from the elements at 0.407 eV per atom. The value obtained for the volume is 22.12 Å³ per atom. The final energy is -5.001 eV/atom. As for the crystal system: orthorhombic.

```
data_CaLaRh2
_symmetry_space_group_name_H-M 'I m m m'
_symmetry_Int_Tables_number 71
_symmetry_space_group_name_Hall '-I 2 2'
_cell_length_a 3.1304
_cell_length_b 5.4737
_cell_length_c 10.3290
_cell_angle_alpha 90.00
_cell_angle_beta 90.00
_cell_angle_gamma 90.00
loop_
_atom_site_label
_atom_site_type_symbol
_atom_site_fract_x
_atom_site_fract_y
_atom_site_fract_z
Ca1 Ca 0.0000 0.0000 0.0000
La1 La 0.0000 0.0000 0.5000
Rh1 Rh 0.0000 0.0000 0.2602
```